FeSn | GGA-PBE | optimized geometry

Cell: 4.161 6.907 7.702 Å, 90.00 90.00 90.00°
Site moments in Bohr magnetons follow the coordinates.
Positions (direct):
Sn  0.000  0.087  0.500  -0.08
Sn  0.500  0.326  0.764  -0.10
Sn  0.500  0.913  0.000  -0.08
Sn  0.000  0.674  0.736  -0.10
Sn  0.500  0.326  0.236  -0.10
Sn  0.000  0.674  0.264  -0.10
Fe  0.500  0.925  0.334  2.13
Fe  0.000  0.075  0.834  2.13
Fe  0.000  0.381  0.000  2.51
Fe  0.000  0.075  0.166  2.13
Fe  0.500  0.925  0.666  2.13
Fe  0.500  0.619  0.500  2.51

Calculated values
The calculation puts the mass density at 7.86 Mg/m³. As for the raw total energy: -0.44714 Ry/atom. Its energy of formation is 0.15 eV per atom. The space group is Pmmn (59).